No. 1
BaHfGe2, optimized geometry, DFT PBE; space-group type = F-43m (216); magnetic moment = 0.10 μB per formula unit; E = -4.81 eV/atom; crystal system = cubic
1.0
0.0000 3.6201 3.6201
3.6201 0.0000 3.6201
3.6201 3.6201 0.0000
Ba Ge Hf
1 2 1
direct
0.5000 0.5000 0.5000
0.0000 0.0000 0.0000
0.7500 0.7500 0.7500
0.2500 0.2500 0.2500

No. 2
Ba2HfGeS6, optimized geometry, DFT PBE; space-group type = Fm-3m (225); magnetic moment = 0.00 μB per formula unit; E = -5.60 eV/atom; crystal system = cubic
1.0
6.0270 -3.4797 0.0000
6.0270 3.4797 0.0000
-4.0180 0.0000 5.6823
Ba Ge Hf S
2 1 1 6
direct
0.7500 0.7500 0.2500
0.2500 0.2500 0.7500
0.5000 0.5000 0.5000
0.0000 0.0000 0.0000
0.7453 0.2547 0.2547
0.2547 0.7453 0.2547
0.2547 0.2547 0.2547
0.7453 0.7453 0.7453
0.7453 0.2547 0.7453
0.2547 0.7453 0.7453

No. 3
BaHg3Ge, optimized geometry, DFT PBE; space-group type = I4/mcm (140); E = -1.13 eV/atom; crystal system = tetragonal
1.0
1.9135 -3.9264 7.2217
-7.9215 -2.6286 1.2532
4.1489 -1.5749 -7.1790
Ba Ge Hg
2 2 6
direct
0.0000 0.0000 0.0000
0.5000 0.5000 0.0000
0.7500 0.2500 0.5000
0.2500 0.7500 0.5000
0.2500 0.2500 0.0000
0.7500 0.7500 0.0000
0.8781 0.3781 0.2563
0.3781 0.1219 0.5000
0.6219 0.8781 0.5000
0.1219 0.6219 0.7437

No. 4
BaMg2HgGe, optimized geometry, DFT PBE; space-group type = I4mm (107); E = -2.43 eV/atom; crystal system = tetragonal
1.0
-2.3272 2.3272 6.2075
2.3272 -2.3272 6.2075
2.3272 2.3272 -6.2075
Ba Ge Hg Mg
1 1 1 2
direct
0.0069 0.0069 0.0000
0.6174 0.6174 0.0000
0.3867 0.3867 0.0000
0.7445 0.2445 0.5000
0.2445 0.7445 0.5000

No. 5
BaHoGe, optimized geometry, DFT PBE; space-group type = F-43m (216); magnetic moment = 0.02 μB per formula unit; E = -3.96 eV/atom; crystal system = cubic
1.0
1.0821 2.7867 4.3289
-0.3129 5.2504 -0.1051
-3.8693 2.4567 2.5824
Ba Ge Ho
1 1 1
direct
0.2500 0.2500 0.2500
0.0000 0.0000 0.0000
0.7500 0.7500 0.7500

No. 6
BaHoGe, optimized geometry, DFT PBE; space-group type = F-43m (216); magnetic moment = 0.00 μB per formula unit; E = -3.18 eV/atom; crystal system = cubic
1.0
4.3691 0.1753 2.9725
1.8499 4.6489 1.7091
-0.3377 1.2570 5.1246
Ba Ge Ho
1 1 1
direct
0.0000 0.0000 0.0000
0.2500 0.2500 0.2500
0.7500 0.7500 0.7500